# 1
A plane-wave DFT calculation with GGA-PBE was carried out for an optimized crystal structure of ErCuPtAu.

POSCAR file:
```
ErCuPtAu
1.0
0.000 3.317 3.317
3.317 0.000 3.317
3.317 3.317 0.000
Er Cu Pt Au
1 1 1 1
direct
0.000 0.000 0.000
0.500 0.500 0.500
0.250 0.250 0.250
0.750 0.750 0.750
```

Results
Space group: F-43m (216)
Raw total energy, eV per atom: -5.128
Total magnetic moment, μB per formula unit: 0.00
Energy of formation from the pure elements, meV per atom: -633.4

# 2
A plane-wave DFT calculation with GGA-PBE was carried out for an optimized crystal structure of ErPuCuAu.

POSCAR file:
```
ErPuCuAu
1.0
0.000 3.552 3.552
3.552 0.000 3.552
3.552 3.552 0.000
Er Pu Cu Au
1 1 1 1
direct
0.000 0.000 0.000
0.500 0.500 0.500
0.250 0.250 0.250
0.750 0.750 0.750
```

Results
Space group: F-43m (216)
Raw total energy, eV per atom: -6.877
Total magnetic moment, μB per formula unit: 5.67
Energy of formation from the pure elements, meV per atom: -310.1

# 3
A plane-wave DFT calculation with GGA-PBE was carried out for an optimized crystal structure of ErScCuAu.

POSCAR file:
```
ErScCuAu
1.0
0.000 3.434 3.434
3.434 0.000 3.434
3.434 3.434 0.000
Er Sc Cu Au
1 1 1 1
direct
0.000 0.000 0.000
0.500 0.500 0.500
0.250 0.250 0.250
0.750 0.750 0.750
```

Results
Space group: F-43m (216)
Raw total energy, eV per atom: -5.104
Total magnetic moment, μB per formula unit: 0.00
Energy of formation from the pure elements, meV per atom: -536.5

# 4
A plane-wave DFT calculation with GGA-PBE was carried out for an optimized crystal structure of SmErCuAu.

POSCAR file:
```
SmErCuAu
1.0
4.555 0.000 0.000
0.000 1.889 5.440
0.000 -1.889 5.440
Sm Er Cu Au
1 1 1 1
direct
0.000 0.000 0.000
0.500 0.279 0.279
0.500 0.562 0.562
0.000 0.720 0.720
```

Results
Space group: Amm2 (38)
Raw total energy, eV per atom: -4.706
Total magnetic moment, μB per formula unit: 0.00
Energy of formation from the pure elements, meV per atom: -542.3

# 5
A plane-wave DFT calculation with GGA-PBE was carried out for an optimized crystal structure of SmErCuAu.

POSCAR file:
```
SmErCuAu
1.0
0.000 3.570 3.570
3.570 0.000 3.570
3.570 3.570 0.000
Sm Er Cu Au
1 1 1 1
direct
0.000 0.000 0.000
0.500 0.500 0.500
0.750 0.750 0.750
0.250 0.250 0.250
```

Results
Space group: F-43m (216)
Raw total energy, eV per atom: -4.683
Total magnetic moment, μB per formula unit: 0.00
Energy of formation from the pure elements, meV per atom: -518.7

# 6
A plane-wave DFT calculation with GGA-PBE was carried out for an optimized crystal structure of ErCuSnAu.

POSCAR file:
```
ErCuSnAu
1.0
0.000 3.426 3.426
3.426 0.000 3.426
3.426 3.426 0.000
Er Cu Sn Au
1 1 1 1
direct
0.000 0.000 0.000
0.750 0.750 0.750
0.500 0.500 0.500
0.250 0.250 0.250
```

Results
Space group: F-43m (216)
Raw total energy, eV per atom: -4.476
Total magnetic moment, μB per formula unit: 0.00
Energy of formation from the pure elements, meV per atom: -491.1